Computed, not measured: a geometry-optimized Dy3Er2Tm6 structure at the PBE level of DFT.

Cell and atoms, written as POSCAR:
```
Dy3Er2Tm6
1.0
1.751 1.011 31.329
-1.751 1.011 31.329
0.000 -2.022 31.329
Dy Er Tm
3 2 6
Cartesian
0.000 0.000 0.000
0.000 0.000 25.613
0.000 0.000 68.373
0.000 0.000 42.742
0.000 0.000 51.245
0.000 0.000 8.573
0.000 0.000 17.077
0.000 0.000 34.186
0.000 0.000 59.800
0.000 0.000 76.909
0.000 0.000 85.413
```

Calculated values
Space-group type   R-3m
Crystal system   trigonal
E   -4.498 eV per atom

=====

Computed, not measured: a geometry-optimized KBa2La structure at the PBE level of DFT.

Cell and atoms, written as POSCAR:
```
KBa2La
1.0
4.461 0.000 0.000
0.000 6.829 0.000
0.000 0.000 7.115
K Ba La
1 2 1
Cartesian
0.000 0.000 0.000
0.000 3.414 3.557
2.230 3.414 0.000
2.230 0.000 3.557
```

Calculated values
Space-group type   Pmmm
Crystal system   orthorhombic
E   -2.156 eV per atom

=====

Computed, not measured: a geometry-optimized Cs2WS4 structure at the PBE level of DFT.

Cell and atoms, written as POSCAR:
```
Cs2WS4
1.0
-2.434 2.434 8.723
2.434 -2.434 8.723
2.434 2.434 -8.723
Cs W S
2 1 4
Cartesian
0.000 0.000 2.622
0.000 0.000 14.823
0.000 0.000 8.723
2.434 0.000 0.000
0.000 0.000 6.369
0.000 2.434 0.000
0.000 0.000 11.076
```

Calculated values
Space-group type   I4/mmm
Formation energy without anion corrections   -0.69 eV per atom
Crystal system   tetragonal
E   -5.142 eV per atom

=====

Computed, not measured: a geometry-optimized Na2Ca2Br structure at the PBE level of DFT.

Cell and atoms, written as POSCAR:
```
Na2Ca2Br
1.0
-2.092 2.092 10.169
2.092 -2.092 10.169
2.092 2.092 -10.169
Na Ca Br
2 2 1
Cartesian
2.092 0.000 5.084
0.000 2.092 5.084
0.000 0.000 1.968
0.000 0.000 18.369
0.000 0.000 10.169
```

Calculated values
Space-group type   I4/mmm
Formation energy without anion corrections   -0.25 eV per atom
Crystal system   tetragonal
E   -1.911 eV per atom